1.
First-principles (PBE) data for crystalline Pm2AsPt at its relaxed geometry, as listed in Alexandria via LeMat-Bulk.

Cell lengths 3.641, 3.641, 7.144 Å; angles 90.00, 90.00, 90.00 degrees
Space group P4/mmm (No. 123)
Symmetry-distinct sites (fractional):
Pm (0.000, 0.000, 0.248) (multiplicity 2)
As (0.500, 0.500, 0.000) (multiplicity 1)
Pt (0.500, 0.500, 0.500) (multiplicity 1)

**Crystal system**: tetragonal
**ΔE to the lowest computed polymorph**: 188.6 meV per atom
**Formation energy**: -1.08 eV per atom

=====

2.
First-principles (PBE) data for crystalline PmAsPt at its relaxed geometry, as listed in Alexandria via LeMat-Bulk.

Cell lengths 6.628, 6.762, 7.278 Å; angles 89.90, 69.11, 66.96 degrees
Space group P1 (No. 1)
Symmetry-distinct sites (fractional):
Pm (0.000, 0.000, 0.000) (multiplicity 1)
Pm (0.159, 0.688, 0.382) (multiplicity 1)
Pm (0.528, 0.131, 0.681) (multiplicity 1)
Pm (0.710, 0.562, 0.877) (multiplicity 1)
As (0.174, 0.566, 0.770) (multiplicity 1)
As (0.503, 0.294, 0.099) (multiplicity 1)
As (0.710, 0.776, 0.270) (multiplicity 1)
As (0.863, 0.314, 0.425) (multiplicity 1)
Pt (0.074, 0.412, 0.100) (multiplicity 1)
Pt (0.131, 0.088, 0.581) (multiplicity 1)
Pt (0.389, 0.976, 0.126) (multiplicity 1)
Pt (0.491, 0.691, 0.589) (multiplicity 1)

**Crystal system**: triclinic
**ΔE to the lowest computed polymorph**: 317.4 meV per atom
**Formation energy**: -0.92 eV per atom

=====

3.
First-principles (PBE) data for crystalline PmAsPt at its relaxed geometry, as listed in Alexandria via LeMat-Bulk.

Cell lengths 6.543, 6.543, 6.543 Å; angles 90.00, 90.00, 90.00 degrees
Space group F-43m (No. 216)
Symmetry-distinct sites (fractional):
Pm (0.000, 0.000, 0.000) (multiplicity 4)
As (0.000, 0.000, 0.500) (multiplicity 4)
Pt (0.250, 0.250, 0.250) (multiplicity 4)

**Crystal system**: cubic
**ΔE to the lowest computed polymorph**: 151.3 meV per atom
**Formation energy**: -1.09 eV per atom

=====

4.
First-principles (PBE) data for crystalline PmAsPt at its relaxed geometry, as listed in Alexandria via LeMat-Bulk.

Cell lengths 4.3245, 4.3245, 4.0177 Å; angles 90.00, 90.00, 120.00 degrees
Space group P3m1 (No. 156)
Symmetry-distinct sites (fractional):
Pm (0.0000, 0.0000, 0.0000) (multiplicity 1)
As (0.6667, 0.3333, 0.5165) (multiplicity 1)
Pt (0.3333, 0.6667, 0.4780) (multiplicity 1)

**Crystal system**: trigonal
**ΔE to the lowest computed polymorph**: 0.0 meV per atom
**Formation energy**: -1.24 eV per atom

=====

5.
First-principles (PBE) data for crystalline PmAs3Pt3 at its relaxed geometry, as listed in Alexandria via LeMat-Bulk.

Cell lengths 6.851, 6.851, 6.851 Å; angles 90.00, 90.00, 90.00 degrees
Space group Pm-3n (No. 223)
Symmetry-distinct sites (fractional):
Pm (0.000, 0.000, 0.000) (multiplicity 2)
As (0.000, 0.250, 0.500) (multiplicity 6)
Pt (0.000, 0.500, 0.250) (multiplicity 6)

**Crystal system**: cubic
**Formation energy**: -0.41 eV per atom

=====

6.
First-principles (PBE) data for crystalline PmAs2Pt at its relaxed geometry, as listed in Alexandria via LeMat-Bulk.

Cell lengths 5.1817, 5.1817, 10.7489 Å; angles 90.00, 90.00, 120.00 degrees
Space group R-3m (No. 166, hexagonal axes)
Symmetry-distinct sites (fractional):
Pm (0.0000, 0.0000, 0.0000) (multiplicity 3)
As (0.0000, 0.0000, 0.2700) (multiplicity 6)
Pt (0.0000, 0.0000, 0.5000) (multiplicity 3)

**Crystal system**: trigonal
**ΔE to the lowest computed polymorph**: 82.7 meV per atom
**Formation energy**: -0.58 eV per atom